1.
Material: Te2PtWN
Method: DFT, GGA-PBE
State: optimized geometry

## Properties
E_tot (hartree per atom): -0.2264
Spin magnetization (μB per atom): 0.000
Formation energy (no corrections) (meV/atom): 559.0
Calculated density (Mg/m³): 10.0

Unit cell a=5.342 b=5.342 c=3.774 alpha=90.00 beta=90.00 gamma=90.00
Atoms (fractional coordinates):
Te (0.000, 0.500, 0.000)
Te (0.500, 0.000, 0.000)
Pt (0.000, 0.000, 0.500)
W (0.500, 0.500, 0.000)
N (0.500, 0.500, 0.500)

2.
Material: Ce2Sm2In3
Method: DFT, GGA-PBE
State: optimized geometry

## Properties
E_tot (hartree per atom): -0.1622
Spin magnetization (μB per atom): 0.173
Calculated density (Mg/m³): 7.5

Unit cell a=8.463 b=8.463 c=7.954 alpha=117.31 beta=117.31 gamma=23.89
Atoms (fractional coordinates):
Ce (0.067, 0.067, 0.180)
Ce (0.933, 0.933, 0.820)
Sm (0.361, 0.361, 0.132)
Sm (0.639, 0.639, 0.868)
In (0.000, 0.000, 0.500)
In (0.235, 0.235, 0.651)
In (0.765, 0.765, 0.349)

3.
Material: KAu
Method: DFT, GGA-PBE
State: optimized geometry

## Properties
E_tot (hartree per atom): -0.0902
Spin magnetization (μB per atom): 0.000
Calculated density (Mg/m³): 4.9

Unit cell a=8.338 b=8.338 c=8.338 alpha=33.66 beta=33.66 gamma=33.66
Atoms (fractional coordinates):
K (0.085, 0.085, 0.085)
K (0.915, 0.915, 0.915)
Au (0.333, 0.333, 0.333)
Au (0.667, 0.667, 0.667)

Among the records above, which one has the lowest calculated density? KAu